Record 1
Material: K4RbPd
Method: DFT, GGA-PBE
State: relaxed

Output
Formation enthalpy at 0 K (eV per atom): 0.0310
DFT total energy (eV/atom): -1.727
Theoretical density (g/cm³): 1.6
Space group: C2/m
Total magnetic moment (μB/atom): 0.00

Cell lengths 7.301, 9.194, 12.039 Å; angles 112.45, 108.04, 90.00 degrees
Fractional positions:
K1 0.860 0.360 0.719
K2 0.598 0.357 0.197
K3 0.000 0.231 0.000
K4 0.402 0.160 0.803
K5 0.140 0.640 0.281
K6 0.402 0.643 0.803
K7 0.000 0.769 0.000
K8 0.598 0.840 0.197
Rb1 0.207 0.208 0.417
Rb2 0.793 0.792 0.583
Pd1 0.687 0.500 0.000
Pd2 0.313 0.500 0.000

***

Record 2
Material: Al7Cu
Method: DFT, GGA-PBE
State: relaxed

Output
Formation enthalpy at 0 K (eV per atom): -0.0410
DFT total energy (eV/atom): -3.828
Theoretical density (g/cm³): 3.3
Space group: Fm-3m
Total magnetic moment (μB/atom): 0.00

Cell lengths 5.632, 5.632, 5.632 Å; angles 60.00, 60.00, 60.00 degrees
Fractional positions:
Al1 0.500 0.000 0.500
Al2 0.000 0.500 0.500
Al3 0.000 0.000 0.500
Al4 0.000 0.500 0.000
Al5 0.500 0.000 0.000
Al6 0.500 0.500 0.000
Al7 0.500 0.500 0.500
Cu1 0.000 0.000 0.000

***

Record 3
Material: Zr2AlV
Method: DFT, GGA-PBE
State: relaxed

Output
Formation enthalpy at 0 K (eV per atom): -0.1361
DFT total energy (eV/atom): -7.626
Theoretical density (g/cm³): 5.7
Space group: P2_1/m
Total magnetic moment (μB/atom): 0.01

Cell lengths 5.681, 4.689, 5.733 Å; angles 90.00, 98.45, 90.00 degrees
Fractional positions:
Al1 0.701 0.250 0.225
Al2 0.299 0.750 0.775
Zr1 0.606 0.250 0.690
Zr2 0.394 0.750 0.310
Zr3 0.165 0.250 0.007
Zr4 0.835 0.750 0.993
V1 0.121 0.250 0.503
V2 0.879 0.750 0.497

***

Record 4
Material: Mg3Al5Ag2
Method: DFT, GGA-PBE
State: relaxed

Output
Formation enthalpy at 0 K (eV per atom): 0.0003
DFT total energy (eV/atom): -2.920
Theoretical density (g/cm³): 3.5
Space group: Ibam
Total magnetic moment (μB/atom): 0.00

Cell lengths 5.682, 8.849, 8.849 Å; angles 89.65, 71.27, 71.27 degrees
Fractional positions:
Mg1 0.250 0.000 0.000
Mg2 0.750 0.000 0.000
Mg3 0.380 0.348 0.891
Mg4 0.620 0.652 0.109
Mg5 0.880 0.891 0.348
Mg6 0.120 0.109 0.652
Al1 0.250 0.500 0.500
Al2 0.750 0.500 0.500
Al3 0.504 0.746 0.746
Al4 0.996 0.254 0.254
Al5 0.496 0.254 0.254
Al6 0.004 0.746 0.746
Al7 0.120 0.525 0.234
Al8 0.880 0.475 0.766
Al9 0.620 0.234 0.525
Al10 0.380 0.766 0.475
Ag1 0.139 0.710 0.012
Ag2 0.861 0.290 0.988
Ag3 0.639 0.012 0.710
Ag4 0.361 0.988 0.290